[1]
A plane-wave DFT calculation with SCAN was carried out for a PBEsol-optimized structure of Na2Sc2Re.

Energy of formation from the pure elements ... 5.3 eV/f.u.
ρ ... 5.46 g cm⁻³

a b c (Å): 5.115 5.115 7.485
angles (deg): 90.00 90.00 90.00
Space group I4/mmm (No. 139)
Symmetry-distinct sites (fractional):
Na 0.000 0.000 0.135 x4
Sc 0.000 0.500 0.250 x4
Re 0.000 0.000 0.500 x2

[2]
A plane-wave DFT calculation with SCAN was carried out for a PBEsol-optimized structure of RbScS2O8.

Uncorrected formation energy ... -2.3028 eV per atom
ρ ... 2.81 g cm⁻³

a b c (Å): 5.2534 5.2534 7.9639
angles (deg): 90.00 90.00 120.00
Space group P-3m1 (No. 164)
Symmetry-distinct sites (fractional):
Rb 0.0000 0.0000 0.0000 x1
Sc 0.0000 0.0000 0.5000 x1
S 0.3333 0.6667 0.7228 x2
O 0.1804 0.3607 0.6570 x6
O 0.3333 0.6667 0.9049 x2

[3]
A plane-wave DFT calculation with SCAN was carried out for a PBEsol-optimized structure of KCaOs2.

ΔE to the lowest computed polymorph ... 0.0 kJ per mole of atoms
Energy of formation from the pure elements ... 1.2 eV/f.u.
ρ ... 6.05 g cm⁻³

a b c (Å): 7.097 4.096 8.973
angles (deg): 90.00 104.80 90.00
Space group Cm (No. 8)
Symmetry-distinct sites (fractional):
K 0.000 0.000 0.000 x2
Ca 0.329 0.500 0.471 x2
Os 0.064 0.500 0.683 x2
Os 0.244 0.000 0.723 x2

[4]
A plane-wave DFT calculation with SCAN was carried out for a PBEsol-optimized structure of LaOs2.

Energy of formation from the pure elements ... -0.3 eV/f.u.
ρ ... 15.38 g cm⁻³

a b c (Å): 7.656 7.656 7.656
angles (deg): 90.00 90.00 90.00
Space group Fd-3m (No. 227, origin choice 2)
Symmetry-distinct sites (fractional):
La 0.125 0.125 0.125 x8
Os 0.000 0.000 0.500 x16

[5]
A plane-wave DFT calculation with SCAN was carried out for a PBEsol-optimized structure of Nb2HgAs.

Energy of formation from the pure elements ... 0.3 eV/f.u.
ρ ... 10.99 g cm⁻³

a b c (Å): 6.533 6.533 6.533
angles (deg): 90.00 90.00 90.00
Space group Fm-3m (No. 225)
Symmetry-distinct sites (fractional):
Nb 0.250 0.250 0.250 x8
Hg 0.000 0.000 0.000 x4
As 0.000 0.000 0.500 x4

[6]
A plane-wave DFT calculation with SCAN was carried out for a PBEsol-optimized structure of MnPt2W.

ΔE to the lowest computed polymorph ... 14.4 kJ per mole of atoms
Energy of formation from the pure elements ... -1.6 eV/f.u.
ρ ... 18.03 g cm⁻³

a b c (Å): 9.037 2.735 4.771
angles (deg): 90.00 100.72 90.00
Space group Cm (No. 8)
Symmetry-distinct sites (fractional):
Mn 0.000 0.000 0.000 x2
Pt 0.252 0.000 0.779 x2
Pt 0.495 0.000 0.493 x2
W 0.243 0.500 0.271 x2

[7]
A plane-wave DFT calculation with SCAN was carried out for a PBEsol-optimized structure of HfSn3Os.

Energy of formation from the pure elements ... 7.9 eV/f.u.
ρ ... 7.94 g cm⁻³

a b c (Å): 5.333 5.333 5.333
angles (deg): 90.00 90.00 90.00
Space group Pm-3m (No. 221)
Symmetry-distinct sites (fractional):
Hf 0.000 0.000 0.000 x1
Sn 0.000 0.000 0.500 x3
Os 0.500 0.500 0.500 x1

[8]
A plane-wave DFT calculation with SCAN was carried out for a PBEsol-optimized structure of Tl3Cd.

Energy of formation from the pure elements ... 0.2 eV/f.u.
ρ ... 11.36 g cm⁻³

a b c (Å): 3.3414 3.3414 10.9692
angles (deg): 90.00 90.00 120.00
Space group P-6m2 (No. 187)
Symmetry-distinct sites (fractional):
Tl 0.0000 0.0000 0.0000 x1
Tl 0.3333 0.6667 0.2631 x2
Cd 0.0000 0.0000 0.5000 x1

[9]
A plane-wave DFT calculation with SCAN was carried out for a PBEsol-optimized structure of LiCa2Hf.

Energy of formation from the pure elements ... 2.4 eV/f.u.
ρ ... 3.87 g cm⁻³

a b c (Å): 7.698 7.698 7.698
angles (deg): 90.00 90.00 90.00
Space group Fm-3m (No. 225)
Symmetry-distinct sites (fractional):
Li 0.000 0.000 0.000 x4
Ca 0.250 0.250 0.250 x8
Hf 0.000 0.000 0.500 x4

[10]
A plane-wave DFT calculation with SCAN was carried out for a PBEsol-optimized structure of NiPdN2.

ΔE to the lowest computed polymorph ... 0.0 kJ per mole of atoms
Uncorrected formation energy ... 0.4216 eV per atom
ρ ... 8.07 g cm⁻³

a b c (Å): 2.7883 2.7883 17.7116
angles (deg): 90.00 90.00 120.00
Space group R-3m (No. 166, hexagonal axes)
Symmetry-distinct sites (fractional):
Ni 0.0000 0.0000 0.0000 x3
Pd 0.0000 0.0000 0.5000 x3
N 0.0000 0.0000 0.3905 x6

[11]
A plane-wave DFT calculation with SCAN was carried out for a PBEsol-optimized structure of Zr2AgAu.

Energy of formation from the pure elements ... -1.5 eV/f.u.
ρ ... 10.79 g cm⁻³

a b c (Å): 4.234 4.234 8.367
angles (deg): 90.00 90.00 90.00
Space group I4/mmm (No. 139)
Symmetry-distinct sites (fractional):
Zr 0.000 0.500 0.250 x4
Ag 0.000 0.000 0.000 x2
Au 0.000 0.000 0.500 x2

[12]
A plane-wave DFT calculation with SCAN was carried out for a PBEsol-optimized structure of CsK3Au.

Energy of formation from the pure elements ... -0.7 eV/f.u.
ρ ... 2.59 g cm⁻³

a b c (Å): 6.597 6.597 6.597
angles (deg): 90.00 90.00 90.00
Space group Pm-3m (No. 221)
Symmetry-distinct sites (fractional):
Cs 0.000 0.000 0.000 x1
K 0.000 0.500 0.500 x3
Au 0.500 0.500 0.500 x1

[13]
A plane-wave DFT calculation with SCAN was carried out for a PBEsol-optimized structure of K3OsPd.

Energy of formation from the pure elements ... 6.3 eV/f.u.
ρ ... 3.39 g cm⁻³

a b c (Å): 5.873 5.873 5.873
angles (deg): 90.00 90.00 90.00
Space group Pm-3m (No. 221)
Symmetry-distinct sites (fractional):
K 0.000 0.000 0.500 x3
Os 0.500 0.500 0.500 x1
Pd 0.000 0.000 0.000 x1

[14]
A plane-wave DFT calculation with SCAN was carried out for a PBEsol-optimized structure of Zr2MnCl.

ΔE to the lowest computed polymorph ... 6.5 kJ per mole of atoms
Uncorrected formation energy ... -0.4324 eV per atom
ρ ... 5.54 g cm⁻³

a b c (Å): 3.092 3.092 8.557
angles (deg): 90.00 90.00 90.00
Space group P4mm (No. 99)
Symmetry-distinct sites (fractional):
Zr 0.000 0.000 0.000 x1
Zr 0.500 0.500 0.272 x1
Mn 0.500 0.500 0.783 x1
Cl 0.000 0.000 0.466 x1

[15]
A plane-wave DFT calculation with SCAN was carried out for a PBEsol-optimized structure of CoRe3.

Energy of formation from the pure elements ... 0.3 eV/f.u.
ρ ... 19.04 g cm⁻³

a b c (Å): 3.777 3.777 3.777
angles (deg): 90.00 90.00 90.00
Space group Pm-3m (No. 221)
Symmetry-distinct sites (fractional):
Co 0.000 0.000 0.000 x1
Re 0.000 0.500 0.500 x3

[16]
A plane-wave DFT calculation with SCAN was carried out for a PBEsol-optimized structure of Li2AlVO4.

ΔE to the lowest computed polymorph ... 6.1 kJ per mole of atoms
Uncorrected formation energy ... -2.7106 eV per atom
ρ ... 3.31 g cm⁻³

a b c (Å): 4.020 5.706 6.822
angles (deg): 90.00 90.00 90.00
Space group Pmn2_1 (No. 31)
Symmetry-distinct sites (fractional):
Li 0.000 0.172 0.000 x2
Li 0.000 0.675 0.732 x2
Al 0.000 0.166 0.487 x2
V 0.000 0.663 0.250 x2
O 0.000 0.318 0.718 x2
O 0.000 0.329 0.263 x2
O 0.000 0.821 0.006 x2
O 0.000 0.853 0.478 x2

[17]
A plane-wave DFT calculation with SCAN was carried out for a PBEsol-optimized structure of La2SiNi.

Uncorrected formation energy ... -0.3140 eV per atom
ρ ... 6.66 g cm⁻³

a b c (Å): 4.844 4.844 3.874
angles (deg): 90.00 90.00 90.00
Space group P4/mmm (No. 123)
Symmetry-distinct sites (fractional):
La 0.000 0.500 0.000 x2
Si 0.000 0.000 0.500 x1
Ni 0.500 0.500 0.500 x1

[18]
A plane-wave DFT calculation with SCAN was carried out for a PBEsol-optimized structure of ScAgPt2.

Energy of formation from the pure elements ... -2.6 eV/f.u.
ρ ... 13.76 g cm⁻³

a b c (Å): 6.399 6.399 6.399
angles (deg): 90.00 90.00 90.00
Space group F-43m (No. 216)
Symmetry-distinct sites (fractional):
Sc 0.000 0.000 0.000 x4
Ag 0.250 0.250 0.750 x4
Pt 0.000 0.000 0.500 x4
Pt 0.250 0.250 0.250 x4

[19]
A plane-wave DFT calculation with SCAN was carried out for a PBEsol-optimized structure of LiInPS2.

Uncorrected formation energy ... 0.2933 eV per atom
ρ ... 2.82 g cm⁻³

a b c (Å): 5.066 5.066 4.972
angles (deg): 90.00 90.00 90.00
Space group P4/mmm (No. 123)
Symmetry-distinct sites (fractional):
Li 0.000 0.000 0.000 x1
In 0.500 0.500 0.500 x1
P 0.500 0.500 0.000 x1
S 0.000 0.500 0.500 x2

[20]
A plane-wave DFT calculation with SCAN was carried out for a PBEsol-optimized structure of AlAuBr2.

ΔE to the lowest computed polymorph ... 0.0 kJ per mole of atoms
Uncorrected formation energy ... 0.0947 eV per atom
ρ ... 6.38 g cm⁻³

a b c (Å): 7.598 7.598 6.918
angles (deg): 90.00 90.00 90.00
Space group I-42d (No. 122)
Symmetry-distinct sites (fractional):
Al 0.000 0.000 0.000 x4
Au 0.000 0.000 0.500 x4
Br 0.216 0.250 0.625 x8

[21]
A plane-wave DFT calculation with SCAN was carried out for a PBEsol-optimized structure of SrAlTl2.

Energy of formation from the pure elements ... -0.9 eV/f.u.
ρ ... 8.24 g cm⁻³

a b c (Å): 5.327 5.327 7.434
angles (deg): 90.00 90.00 90.00
Space group I4/mmm (No. 139)
Symmetry-distinct sites (fractional):
Sr 0.000 0.000 0.000 x2
Al 0.000 0.000 0.500 x2
Tl 0.000 0.500 0.250 x4

[22]
A plane-wave DFT calculation with SCAN was carried out for a PBEsol-optimized structure of MoC2.

ΔE to the lowest computed polymorph ... 0.0 kJ per mole of atoms
Energy of formation from the pure elements ... 2.6 eV/f.u.
ρ ... 6.92 g cm⁻³

a b c (Å): 2.887 4.350 4.583
angles (deg): 90.00 90.00 90.00
Space group Immm (No. 71)
Symmetry-distinct sites (fractional):
Mo 0.000 0.000 0.000 x2
C 0.000 0.500 0.148 x4

[23]
A plane-wave DFT calculation with SCAN was carried out for a PBEsol-optimized structure of Cu2SiS3.

Uncorrected formation energy ... -0.5341 eV per atom
ρ ... 4.09 g cm⁻³

a b c (Å): 7.293 21.983 10.197
angles (deg): 90.00 90.00 90.00
Space group Fdd2 (No. 43)
Symmetry-distinct sites (fractional):
Cu 0.000 0.000 0.000 x8
Cu 0.000 0.000 0.496 x8
Cu 0.005 0.329 0.499 x16
Si 0.018 0.166 0.498 x16
S 0.003 0.256 0.119 x16
S 0.006 0.415 0.621 x16
S 0.009 0.085 0.628 x16

[24]
A plane-wave DFT calculation with SCAN was carried out for a PBEsol-optimized structure of NbRe3Tc.

Energy of formation from the pure elements ... 9.5 eV/f.u.
ρ ... 13.14 g cm⁻³

a b c (Å): 4.558 4.558 4.558
angles (deg): 90.00 90.00 90.00
Space group Pm-3m (No. 221)
Symmetry-distinct sites (fractional):
Nb 0.000 0.000 0.000 x1
Re 0.000 0.500 0.500 x3
Tc 0.500 0.500 0.500 x1

[25]
A plane-wave DFT calculation with SCAN was carried out for a PBEsol-optimized structure of SrNiSe2.

ΔE to the lowest computed polymorph ... 58.3 kJ per mole of atoms
Uncorrected formation energy ... -0.5415 eV per atom
ρ ... 6.10 g cm⁻³

a b c (Å): 6.918 6.918 6.918
angles (deg): 90.00 90.00 90.00
Space group Fm-3m (No. 225)
Symmetry-distinct sites (fractional):
Sr 0.000 0.000 0.000 x4
Ni 0.000 0.000 0.500 x4
Se 0.250 0.250 0.250 x8

[26]
A plane-wave DFT calculation with SCAN was carried out for a PBEsol-optimized structure of K7TaAs4.

Energy of formation from the pure elements ... -7.1 eV/f.u.
ρ ... 3.30 g cm⁻³

a b c (Å): 10.131 9.089 8.241
angles (deg): 90.00 90.00 90.00
Space group Pmn2_1 (No. 31)
Symmetry-distinct sites (fractional):
K 0.000 0.037 0.000 x2
K 0.000 0.340 0.211 x2
K 0.000 0.900 0.480 x2
K 0.210 0.535 0.499 x4
K 0.216 0.166 0.665 x4
Ta 0.000 0.676 0.873 x2
As 0.000 0.410 0.794 x2
As 0.000 0.684 0.173 x2
As 0.204 0.809 0.778 x4